Material: BaTeAsN2
Method: DFT, PBE
State: relaxed

Properties
Relative energy among the computed polymorphs, meV per atom: 938
D(E_F), states/eV/f.u.: 5.30
Space group: No. 123
E_tot, eV per cell: -17.71

a = 4.4011 Å, b = 4.4011 Å, c = 7.3896 Å
α = 90.00°, β = 90.00°, γ = 90.00°
Site moments in Bohr magnetons follow the coordinates.
Positions (direct):
N: 0.5000 0.0000 0.0000  0.04
Te: 0.0000 0.0000 0.5000  -0.03
N: 0.0000 0.5000 0.0000  0.04
As: 0.5000 0.5000 0.5000  0.40
Ba: 0.0000 0.0000 0.0000  0.03